DFT (GGA-PBE) results for a relaxed structure of Fe2RuPb.

Geometry as POSCAR:
```
Fe2RuPb
1.0
4.8445 -0.0046 0.0002
3.8765 2.9055 0.0002
1.0934 0.3637 4.4982
Pb Fe Ru
1 2 1
direct
0.2500 0.2500 0.2500 Pb
0.4897 0.4897 0.5520 Fe
0.0103 0.0103 0.9480 Fe
0.7500 0.7500 0.7500 Ru
```

V ... 15.85 Å³/atom
Crystal system ... monoclinic
Formation energy ... 498 meV per atom
Calculated density ... 11.0 Mg/m³